Record 1
VASP calculation (PBE) on crystalline KCoAs2 at its relaxed geometry.

```
KCoAs2
1.0
3.079 0.000 0.000
0.000 3.079 0.000
0.000 0.000 7.938
K Co As
1 1 2
Cartesian
0.000 0.000 0.000
0.000 0.000 3.969
1.540 1.540 2.603
1.540 1.540 5.335
```

Computed properties:
The calculation puts the formation energy from the elements at -0.22 eV per formula unit. The density of states at the Fermi level is 0.37 states/eV per atom. As for the magnetic moment: 0.0 μB/cell. Its space group is No. 123.

=====

Record 2
VASP calculation (PBE) on crystalline SmPb3 at its relaxed geometry.

```
SmPb3
1.0
4.910 0.000 0.000
0.000 4.910 0.000
0.000 0.000 4.910
Sm Pb
1 3
Cartesian
0.000 0.000 0.000
0.000 2.455 2.455
2.455 0.000 2.455
2.455 2.455 0.000
```

Computed properties:
The calculation puts the formation energy from the elements at -1.38 eV per formula unit. The density of states at the Fermi level is 0.47 states/eV per atom. As for the magnetic moment: 0.0 μB/cell. Its space group is No. 221.

=====

Record 3
VASP calculation (PBE) on crystalline K2NaInI5 at its relaxed geometry.

```
K2NaInI5
1.0
2.642 -10.418 0.000
2.642 10.418 0.000
0.000 0.000 14.271
K Na In I
4 2 2 10
Cartesian
2.642 7.749 7.135
2.642 7.642 2.053
2.642 -7.642 9.188
2.642 -7.749 0.000
2.642 5.920 12.197
2.642 -5.920 5.062
2.642 1.206 3.856
2.642 -1.206 10.992
2.642 9.445 12.186
2.642 4.192 6.950
2.642 3.921 2.660
2.642 2.851 11.791
2.642 0.056 8.378
2.642 -0.056 1.243
2.642 -2.851 4.655
2.642 -3.921 9.795
2.642 -4.192 14.085
2.642 -9.445 5.050
```

Computed properties:
The density of states at the Fermi level is 0.15 states/eV per atom. For the formation energy from raw total energies, the calculation gives -1.048 eV/atom. As for the magnetic moment: 0.0 μB/cell. Its space group is No. 36.

=====

Record 4
VASP calculation (PBE) on crystalline Y2ThBi3 at its relaxed geometry.

```
Y2ThBi3
1.0
-2.267 3.209 6.753
2.267 -3.209 6.753
2.267 3.209 -6.753
Y Th Bi
2 1 3
Cartesian
0.000 0.000 2.232
0.000 0.000 11.275
0.000 0.000 6.753
2.267 0.000 0.000
2.267 0.000 4.445
0.000 3.209 2.309
```

Computed properties:
The calculation puts the formation energy from the elements at -4.74 eV per formula unit. The density of states at the Fermi level is 0.38 states/eV per atom. As for the magnetic moment: 0.0 μB/cell. Its space group is No. 71.